1.
Sr2MgCdIn6 | Alexandria via LeMat-Bulk | PBE | optimized geometry; spin magnetization = 0.0 μB per cell; space group = No. 166; final energy = -2.366 eV/atom
1.0
3.710 2.142 12.929
-3.710 2.142 12.929
0.000 -4.284 12.929
Sr Mg Cd In
4 2 2 12
direct
0.107 0.107 0.107
0.282 0.282 0.282
0.718 0.718 0.718
0.893 0.893 0.893
0.000 0.000 0.000
0.500 0.500 0.500
0.427 0.427 0.427
0.573 0.573 0.573
0.068 0.666 0.666
0.227 0.227 0.643
0.227 0.643 0.227
0.334 0.334 0.932
0.334 0.932 0.334
0.357 0.773 0.773
0.643 0.227 0.227
0.666 0.068 0.666
0.666 0.666 0.068
0.773 0.357 0.773
0.773 0.773 0.357
0.932 0.334 0.334

***

2.
TbMg7Cd2In | Alexandria via LeMat-Bulk | PBE | optimized geometry; spin magnetization = 0.0 μB per cell; space group = No. 119; final energy = -1.848 eV/atom
1.0
-2.210 2.210 13.951
2.210 -2.210 13.951
2.210 2.210 -13.951
Tb Mg Cd In
1 7 2 1
direct
0.000 0.000 0.000
0.087 0.587 0.500
0.167 0.167 0.000
0.331 0.331 0.000
0.413 0.913 0.500
0.669 0.669 0.000
0.750 0.250 0.500
0.833 0.833 0.000
0.586 0.086 0.500
0.914 0.414 0.500
0.250 0.750 0.500

***

3.
ThMg2Cd2In2 | Alexandria via LeMat-Bulk | PBE | optimized geometry; spin magnetization = 0.0 μB per cell; space group = No. 166; final energy = -2.692 eV/atom
1.0
2.431 1.403 8.334
-2.431 1.403 8.334
0.000 -2.807 8.334
Th Mg Cd In
1 2 2 2
direct
0.000 0.000 0.000
0.139 0.139 0.139
0.861 0.861 0.861
0.434 0.434 0.434
0.566 0.566 0.566
0.265 0.265 0.265
0.735 0.735 0.735

***

4.
MgTiCdIn | Alexandria via LeMat-Bulk | PBE | optimized geometry; spin magnetization = 0.0 μB per cell; space group = No. 47; final energy = -3.381 eV/atom
1.0
4.183 0.000 0.000
0.000 4.282 0.000
0.000 0.000 4.464
Mg Ti Cd In
1 1 1 1
direct
0.000 0.000 0.000
0.000 0.500 0.500
0.500 0.500 0.000
0.500 0.000 0.500